First-principles (PBE with a Hubbard U) data for a relaxed V3O7 crystal, as listed in Alexandria via LeMat-Bulk.

The value obtained for the magnetic moment is 0.100 μB per atom. The energy relative to the lowest polymorph listed for this composition comes out at 86.8 meV/atom. The crystal system is trigonal.

abc: 10.8999 10.8999 9.7662
angles: 90.00 90.00 120.00
Space group P31c (No. 159)
One atom of each set of equivalent atoms:
V (0.1181, 0.8102, 0.0000) x6
V (0.1195, 0.3216, 0.7015) x6
V (0.1560, 0.8399, 0.3506) x6
O (0.0332, 0.2871, 0.8948) x6
O (0.0353, 0.7494, 0.8136) x6
O (0.0763, 0.8195, 0.5334) x6
O (0.0831, 0.2582, 0.1659) x6
O (0.1609, 0.4815, 0.6647) x6
O (0.1616, 0.6926, 0.0292) x6
O (0.2386, 0.7538, 0.3484) x6